This record from Alexandria via LeMat-Bulk describes an optimized crystal structure of Pm2Nd3PuS6. The functional is PBE-GGA.

Lattice parameters (Å, degrees): 9.0326 9.0326 8.1132 103.03 103.03 25.72
Last column: nearest neighbours and their distance in Å.
Atoms (fractional coordinates):
Pm1 0.1648 0.1648 0.3301  6 S 2.83-2.86
Pm2 0.8352 0.8352 0.6699  6 S 2.83-2.86
Nd1 0.1668 0.1668 0.8351  6 S 2.86-2.89
Nd2 0.5000 0.5000 0.5000  6 S 2.88-2.90
Nd3 0.8332 0.8332 0.1649  6 S 2.86-2.89
Pu1 0.5000 0.5000 0.0000  6 S 2.82
S1 0.9999 0.9999 0.2432  2 Pu 2.82, 1 Pm 2.83, 3 Nd 2.86-2.90
S2 0.0001 0.0001 0.7568  2 Pu 2.82, 1 Pm 2.83, 3 Nd 2.86-2.90
S3 0.3320 0.3320 0.4185  3 Pm 2.86, 3 Nd 2.88
S4 0.3355 0.3355 0.9158  1 Pu 2.82, 2 Pm 2.83, 3 Nd 2.86-2.89
S5 0.6645 0.6645 0.0842  1 Pu 2.82, 2 Pm 2.83, 3 Nd 2.86-2.89
S6 0.6680 0.6680 0.5815  3 Pm 2.86, 3 Nd 2.88

Results
**Crystal system**: monoclinic
**Electronic total energy**: -7.242 eV per atom
**Total magnetization**: 5.81 Bohr magnetons per cell
**Calculated volume**: 280 Å³/cell
**Raw formation energy**: -2.0000 eV per atom



This record from Alexandria via LeMat-Bulk describes an optimized crystal structure of Pm4Nd3PuS8. The functional is PBE-GGA.

Lattice parameters (Å, degrees): 8.0756 8.0756 8.0756 60.02 60.02 60.02
Last column: nearest neighbours and their distance in Å.
Atoms (fractional coordinates):
Pm1 0.0000 0.0000 0.0000  6 S 2.88
Pm2 0.0000 0.5000 0.5000  6 S 2.84
Pm3 0.5000 0.0000 0.5000  6 S 2.84
Pm4 0.5000 0.5000 0.0000  6 S 2.84
Nd1 0.0000 0.0000 0.5000  6 S 2.87
Nd2 0.0000 0.5000 0.0000  6 S 2.87
Nd3 0.5000 0.0000 0.0000  6 S 2.87
Pu1 0.5000 0.5000 0.5000  6 S 2.83
S1 0.2511 0.2511 0.2511  3 Pm 2.84, 3 Nd 2.87
S2 0.2525 0.2525 0.7454  1 Pu 2.83, 3 Pm 2.84-2.88, 2 Nd 2.87
S3 0.2525 0.7454 0.2525  1 Pu 2.83, 3 Pm 2.84-2.88, 2 Nd 2.87
S4 0.2546 0.7475 0.7475  1 Pu 2.83, 3 Pm 2.84-2.88, 2 Nd 2.87
S5 0.7454 0.2525 0.2525  1 Pu 2.83, 3 Pm 2.84-2.88, 2 Nd 2.87
S6 0.7475 0.2546 0.7475  1 Pu 2.83, 3 Pm 2.84-2.88, 2 Nd 2.87
S7 0.7475 0.7475 0.2546  1 Pu 2.83, 3 Pm 2.84-2.88, 2 Nd 2.87
S8 0.7489 0.7489 0.7489  3 Pm 2.84, 3 Nd 2.87

Results
**Crystal system**: trigonal
**Electronic total energy**: -7.046 eV per atom
**Total magnetization**: 5.67 Bohr magnetons per cell
**Calculated volume**: 373 Å³/cell
**Raw formation energy**: -2.0045 eV per atom